No. 1
First-principles (PBE-GGA) data for an optimized crystal structure of Li2Tc, as listed in OQMD via LeMat-Bulk.

Summary:
ΔE to the lowest computed polymorph: 1820 meV/atom

a = 11.9488 Å, b = 11.9488 Å, c = 11.9488 Å
α = 90.00°, β = 90.00°, γ = 90.00°
Space group Fd-3m (No. 227, origin choice 2)
Symmetry-distinct sites (fractional):
Li 0.0000 0.0000 0.0000 (multiplicity 16)
Tc 0.1250 0.1250 0.1250 (multiplicity 8)

***

No. 2
First-principles (PBE-GGA) data for an optimized crystal structure of Li2Tc, as listed in OQMD via LeMat-Bulk.

Summary:
ΔE to the lowest computed polymorph: 0 meV/atom

a = 6.5953 Å, b = 6.5953 Å, c = 6.5953 Å
α = 90.00°, β = 90.00°, γ = 90.00°
Space group Fd-3m (No. 227, origin choice 2)
Symmetry-distinct sites (fractional):
Li 0.0000 0.0000 0.0000 (multiplicity 16)
Tc 0.1250 0.1250 0.6250 (multiplicity 8)

***

No. 3
First-principles (PBE-GGA) data for an optimized crystal structure of Li2TcTe, as listed in OQMD via LeMat-Bulk.

Summary:
E_tot: -4.366 eV/atom

a = 6.2630 Å, b = 6.2630 Å, c = 6.2630 Å
α = 90.00°, β = 90.00°, γ = 90.00°
Space group F-43m (No. 216)
Symmetry-distinct sites (fractional):
Li 0.0000 0.0000 0.0000 (multiplicity 4)
Li 0.2500 0.2500 0.2500 (multiplicity 4)
Tc 0.0000 0.0000 0.5000 (multiplicity 4)
Te 0.2500 0.2500 0.7500 (multiplicity 4)